! PBE NaSnPO5, optimized geometry; values from VASP
! space-group type: No. 15
! volume: 12.5 A^3/atom
! D(E_F): 0.0 states/eV/cell
! total energy: -6.457 eV/atom
&SYSTEM
  ibrav = 0, nat = 16, ntyp = 4
/
ATOMIC_SPECIES
O 16.00 O.upf
P 30.97 P.upf
Sn 118.71 Sn.upf
Na 22.99 Na.upf
CELL_PARAMETERS angstrom
5.601 0.153 -0.045
-1.488 5.401 -0.045
-1.763 -2.381 6.599
ATOMIC_POSITIONS crystal
O 0.399 0.255 0.097
O 0.318 0.878 0.634
O 0.087 0.913 0.250
O 0.601 0.745 0.903
O 0.913 0.087 0.750
O 0.682 0.122 0.366
O 0.255 0.399 0.597
O 0.878 0.318 0.134
O 0.745 0.601 0.403
O 0.122 0.682 0.866
P 0.321 0.679 0.750
P 0.679 0.321 0.250
Sn 0.000 0.000 0.500
Sn 0.000 0.000 0.000
Na 0.337 0.663 0.250
Na 0.663 0.337 0.750